GdDyHg after structural relaxation. Source: OQMD, functional PBE.

Geometry as POSCAR:
```
GdDyHg
1.0
0.000 3.613 3.613
3.613 0.000 3.613
3.613 3.613 0.000
Gd Dy Hg
1 1 1
Direct
0.000 0.000 0.000 Gd
0.500 0.500 0.500 Dy
0.750 0.750 0.750 Hg
```

Symmetry: F-43m (216)
Final energy in eV/cell: -9.876
ρ in g cm⁻³: 9.162
Volume in Å³/cell: 94.3
Formation energy from the elements in kJ per mole of atoms: -10.4